1.
A plane-wave DFT calculation with GGA-PBEsol was carried out for a relaxed CsPCCl2 crystal.

abc: 3.4569 5.8014 5.8014
angles: 90.00 90.00 90.00
Closest atoms and distances in Å follow each position.
Fractional coordinates of all 5 atoms:
P  0.5000  0.0000  0.0000  2 C 1.73
C  0.0000  0.0000  0.0000  2 P 1.73
Cs  0.5000  0.5000  0.5000  8 Cl 3.38, 2 Cs 3.46
Cl  0.0000  0.5000  0.0000  2 C 2.90
Cl  0.0000  0.0000  0.5000  2 C 2.90

Values from the calculation:
**D(E_F)**: 0.81 states/eV/atom
**E_form (uncorrected)**: 1.2 eV per formula unit
**Space group**: P4/mmm, No. 123
**Calculated volume**: 23.27 Å³ per atom

=====

2.
A plane-wave DFT calculation with GGA-PBEsol was carried out for a relaxed CuCCl3 crystal.

abc: 4.5593 4.5593 4.5593
angles: 90.00 90.00 90.00
Closest atoms and distances in Å follow each position.
Fractional coordinates of all 5 atoms:
Cu  0.0000  0.0000  0.0000  6 Cl 2.28
Cl  0.0000  0.5000  0.0000  2 Cu 2.28
Cl  0.5000  0.0000  0.0000  2 Cu 2.28
Cl  0.0000  0.0000  0.5000  2 Cu 2.28
C  0.5000  0.5000  0.5000  12 Cl 3.22

Values from the calculation:
**D(E_F)**: 0.57 states/eV/atom
**E_form (uncorrected)**: 6.2 eV per formula unit
**Space group**: Pm-3m, No. 221
**Calculated volume**: 18.95 Å³ per atom

=====

3.
A plane-wave DFT calculation with GGA-PBEsol was carried out for a relaxed CuH8C2NCl3 crystal.

abc: 8.5729 9.5127 10.3829
angles: 72.84 68.05 64.14
Closest atoms and distances in Å follow each position.
Fractional coordinates of all 60 atoms:
Cl  0.7018  0.3218  0.5213  1 Cu 2.24, 1 H 2.32
Cl  0.1859  0.3833  0.5200  2 Cu 2.29-2.30
Cl  0.4163  0.8351  0.0863  2 H 2.18-2.32, 1 Cu 2.23
Cl  0.0861  0.1174  0.9834  2 Cu 2.26-2.29
Cl  0.7992  0.4005  0.8262  1 Cu 2.26
Cl  0.9544  0.9134  0.3568  1 H 2.15, 1 Cu 2.29
Cl  0.2008  0.5995  0.1738  1 Cu 2.26
Cl  0.5837  0.1649  0.9137  2 H 2.18-2.32, 1 Cu 2.23
Cl  0.9139  0.8826  0.0166  2 Cu 2.26-2.29
Cl  0.2982  0.6782  0.4787  1 Cu 2.24, 1 H 2.32
Cl  0.0456  0.0866  0.6432  1 H 2.15, 1 Cu 2.29
Cl  0.8141  0.6167  0.4800  2 Cu 2.29-2.30
N  0.3805  0.5038  0.7698  2 H 1.05
N  0.7098  0.9753  0.6663  2 H 1.04-1.05
N  0.2902  0.0247  0.3337  2 H 1.04-1.05
N  0.6195  0.4962  0.2302  2 H 1.05
H  0.7822  0.6348  0.1520  1 C 1.10
H  0.2178  0.3652  0.8480  1 C 1.10
H  0.2925  0.1773  0.1402  1 C 1.10
H  0.2015  0.2739  0.2926  1 C 1.10
H  0.7093  0.0662  0.7038  1 N 1.04
H  0.5236  0.9176  0.6257  1 C 1.10
H  0.2754  0.7527  0.7468  1 C 1.10
H  0.1012  0.5735  0.8036  1 C 1.10
H  0.8243  0.5009  0.0397  1 C 1.10
H  0.5950  0.4976  0.3364  1 N 1.05
H  0.7910  0.9776  0.5613  1 N 1.05
H  0.9281  0.8115  0.7416  1 C 1.10
H  0.5602  0.9959  0.2171  1 C 1.10
H  0.2907  0.9338  0.2962  1 N 1.04
H  0.5319  0.8738  0.3870  1 C 1.10
H  0.1757  0.4991  0.9603  1 C 1.10
H  0.7985  0.7261  0.7074  1 C 1.10
H  0.4846  0.4054  0.8036  1 N 1.05
H  0.4681  0.1262  0.6130  1 C 1.10
H  0.5154  0.5946  0.1964  1 N 1.05
H  0.5181  0.6587  0.7133  1 C 1.10
H  0.4764  0.0824  0.3743  1 C 1.10
H  0.4050  0.5024  0.6636  1 N 1.05
H  0.6266  0.3500  0.1087  1 C 1.10
H  0.0719  0.1885  0.2584  1 C 1.10
H  0.2090  0.0224  0.4387  1 N 1.05
H  0.8988  0.4265  0.1964  1 C 1.10
H  0.7246  0.2473  0.2532  1 C 1.10
H  0.3734  0.6500  0.8913  1 C 1.10
H  0.4398  0.0041  0.7829  1 C 1.10
H  0.7075  0.8227  0.8598  1 C 1.10
H  0.4819  0.3413  0.2867  1 C 1.10
C  0.7917  0.8227  0.7497  3 H 1.10
C  0.2083  0.1773  0.2503  3 H 1.10
C  0.7931  0.5163  0.1487  3 H 1.10
C  0.4774  0.9921  0.3277  3 H 1.10
C  0.5226  0.0079  0.6723  3 H 1.10
C  0.3869  0.6521  0.7812  3 H 1.10
C  0.2069  0.4837  0.8513  3 H 1.10
C  0.6131  0.3479  0.2188  3 H 1.10
Cu  0.1453  0.8586  0.0870  4 Cl 2.23-2.29
Cu  0.0825  0.6479  0.4288  4 Cl 2.24-2.30
Cu  0.8547  0.1414  0.9130  4 Cl 2.23-2.29
Cu  0.9175  0.3521  0.5712  4 Cl 2.24-2.30

Values from the calculation:
**D(E_F)**: 0.04 states/eV/atom
**E**: -281.05 eV per cell
**Space group**: P-1, No. 2
**Calculated volume**: 11.63 Å³ per atom